{"formula": "Ti4NiS8", "functional": "PBE", "state": "optimized geometry", "cell": [[-2.188, 1.936, 6.496], [4.403, 0.544, 5.572], [1.734, 6.234, 2.977]], "species": ["Ti", "Ti", "Ti", "Ti", "S", "S", "S", "S", "S", "S", "S", "S", "Ni"], "fractional_positions": [[0.000, 0.500, 0.500], [0.500, 0.000, 0.500], [0.000, 0.000, 0.000], [0.500, 0.500, 0.000], [0.745, 0.250, 0.250], [0.750, 0.750, 0.255], [0.747, 0.747, 0.747], [0.255, 0.750, 0.750], [0.253, 0.253, 0.253], [0.250, 0.250, 0.745], [0.250, 0.745, 0.250], [0.750, 0.255, 0.750], [0.500, 0.500, 0.500]], "e_above_lowest_polymorph_mev_per_atom": 88, "formation_energy_uncorrected_ev_per_atom": -1.13, "sg": "R-3m, No. 166", "magmom_total_mub_per_cell": 0.98}